# NaYBi2 (GGA-PBE, relaxed)
# Theoretical density   7.32 g cm⁻³
# VASP energy   -17.546 eV for the cell shown
# ΔE_f   -500 meV per atom
data_NaYBi2
_space_group_name_H-M_alt 'P 1'
_space_group_IT_number 1
_space_group_name_Hall 'P 1'
_cell_length_a 3.661
_cell_length_b 3.661
_cell_length_c 8.973
_cell_angle_alpha 90.00
_cell_angle_beta 90.00
_cell_angle_gamma 90.00
loop_
_atom_site_label
_atom_site_type_symbol
_atom_site_fract_x
_atom_site_fract_y
_atom_site_fract_z
_atom_site_occupancy
Na1 Na 0.000 0.000 0.000 1
Y1 Y 0.000 0.000 0.500 1
Bi1 Bi 0.500 0.500 0.259 1
Bi2 Bi 0.500 0.500 0.741 1